Arrangement i

A plane-wave DFT calculation with GGA-PBE was carried out for LaSmSb2 after structural relaxation.

Computed properties:
SG: R-3m

a = 4.552 Å, b = 4.552 Å, c = 22.261 Å
α = 90.00°, β = 90.00°, γ = 120.00°
Element x y z (fractional)
La1 0.000 0.000 0.000
La2 0.333 0.667 0.667
La3 0.667 0.333 0.333
Sm1 0.000 0.000 0.500
Sm2 0.333 0.667 0.167
Sm3 0.667 0.333 0.833
Sb1 0.000 0.000 0.247
Sb2 0.000 0.000 0.753
Sb3 0.333 0.667 0.419
Sb4 0.333 0.667 0.914
Sb5 0.667 0.333 0.086
Sb6 0.667 0.333 0.581

Arrangement ii

A plane-wave DFT calculation with GGA-PBE was carried out for LaSmSb2 after structural relaxation.

Computed properties:
SG: R3m

a = 4.509 Å, b = 4.509 Å, c = 23.205 Å
α = 90.00°, β = 90.00°, γ = 120.00°
Element x y z (fractional)
La1 0.000 0.000 0.000
La2 0.333 0.667 0.667
La3 0.667 0.333 0.333
Sm1 0.000 0.000 0.171
Sm2 0.333 0.667 0.838
Sm3 0.667 0.333 0.504
Sb1 0.000 0.000 0.421
Sb2 0.000 0.000 0.584
Sb3 0.333 0.667 0.087
Sb4 0.333 0.667 0.251
Sb5 0.667 0.333 0.754
Sb6 0.667 0.333 0.918

What are the relative energies? In meV per atom: arrangement i 0; arrangement ii 126.

Arrangement i

A plane-wave DFT calculation with GGA-PBE was carried out for La2SnSb2 after structural relaxation.

Computed properties:
SG: I4/mmm

a = 4.276 Å, b = 4.276 Å, c = 17.601 Å
α = 90.00°, β = 90.00°, γ = 90.00°
Element x y z (fractional)
La1 0.000 0.000 0.103
La2 0.000 0.000 0.897
La3 0.500 0.500 0.397
La4 0.500 0.500 0.603
Sn1 0.000 0.000 0.500
Sn2 0.500 0.500 0.000
Sb1 0.000 0.500 0.250
Sb2 0.000 0.500 0.750
Sb3 0.500 0.000 0.250
Sb4 0.500 0.000 0.750

Arrangement ii

A plane-wave DFT calculation with GGA-PBE was carried out for La2SnSb2 after structural relaxation.

Computed properties:
SG: P4/mbm

a = 8.467 Å, b = 8.467 Å, c = 4.419 Å
α = 90.00°, β = 90.00°, γ = 90.00°
Element x y z (fractional)
La1 0.157 0.343 0.000
La2 0.343 0.843 0.000
La3 0.657 0.157 0.000
La4 0.843 0.657 0.000
Sn1 0.000 0.000 0.500
Sn2 0.500 0.500 0.500
Sb1 0.150 0.650 0.500
Sb2 0.350 0.150 0.500
Sb3 0.650 0.850 0.500
Sb4 0.850 0.350 0.500

Arrangement iii

A plane-wave DFT calculation with GGA-PBE was carried out for La2SnSb2 after structural relaxation.

Computed properties:
SG: P4/mbm

a = 8.650 Å, b = 8.650 Å, c = 4.289 Å
α = 90.00°, β = 90.00°, γ = 90.00°
Element x y z (fractional)
La1 0.148 0.352 0.000
La2 0.352 0.852 0.000
La3 0.648 0.148 0.000
La4 0.852 0.648 0.000
Sn1 0.000 0.000 0.000
Sn2 0.500 0.500 0.000
Sb1 0.162 0.662 0.500
Sb2 0.338 0.162 0.500
Sb3 0.662 0.838 0.500
Sb4 0.838 0.338 0.500

What are the relative energies? In meV per atom: arrangement i 168; arrangement ii 0; arrangement iii 127.